Entry 1:
Compound: LiHW
Source: Alexandria
Functional: GGA-PBE
Structure: optimized geometry

Summary:
The space group is C2/m. The calculation puts the total DFT energy (no corrections) at -35.931 eV for the cell shown.

```
data_LiHW
_chemical_formula_sum 'Li2 H2 W2'
_cell_length_a 2.805
_cell_length_b 2.805
_cell_length_c 9.747
_cell_angle_alpha 87.27
_cell_angle_beta 87.27
_cell_angle_gamma 65.69
_symmetry_space_group_name_H-M 'P 1'
_symmetry_Int_Tables_number 1
loop_
_symmetry_equiv_pos_as_xyz
'x,y,z'
loop_
_atom_site_label
_atom_site_type_symbol
_atom_site_fract_x
_atom_site_fract_y
_atom_site_fract_z
H1 H 0.807 0.807 0.385
Li1 Li 0.077 0.077 0.528
W1 W 0.481 0.481 0.271
Li2 Li 0.677 0.677 0.779
H2 H 0.946 0.946 0.922
W2 W 0.272 0.272 0.036
```

=====

Entry 2:
Compound: Ce5H4Pb2
Source: Alexandria
Functional: GGA-PBE
Structure: optimized geometry

Summary:
The space group is Fmmm. The calculation puts the total DFT energy (no corrections) at -53.648 eV for the cell shown.

```
data_Ce5H4Pb2
_chemical_formula_sum 'Ce5 H4 Pb2'
_cell_length_a 6.569
_cell_length_b 6.195
_cell_length_c 7.195
_cell_angle_alpha 75.99
_cell_angle_beta 62.84
_cell_angle_gamma 57.98
_symmetry_space_group_name_H-M 'P 1'
_symmetry_Int_Tables_number 1
loop_
_symmetry_equiv_pos_as_xyz
'x,y,z'
loop_
_atom_site_label
_atom_site_type_symbol
_atom_site_fract_x
_atom_site_fract_y
_atom_site_fract_z
H1 H 0.800 0.648 0.753
Ce1 Ce 0.500 0.000 0.000
Ce2 Ce 0.250 0.500 0.500
H2 H 0.552 0.648 0.247
Ce3 Ce 0.500 0.500 0.000
H3 H 0.448 0.352 0.753
H4 H 0.200 0.352 0.247
Pb1 Pb 0.871 0.000 0.257
Ce4 Ce 0.750 0.500 0.500
Pb2 Pb 0.129 0.000 0.743
Ce5 Ce 0.000 0.500 0.000
```

=====

Entry 3:
Compound: PmEr2Sn3
Source: Alexandria
Functional: GGA-PBE
Structure: optimized geometry

Summary:
The space group is C2/m. The calculated formation energy comes out at -616 meV/atom.

```
data_PmEr2Sn3
_chemical_formula_sum 'Pm2 Er4 Sn6'
_cell_length_a 5.752
_cell_length_b 7.617
_cell_length_c 9.195
_cell_angle_alpha 80.67
_cell_angle_beta 64.56
_cell_angle_gamma 67.82
_symmetry_space_group_name_H-M 'P 1'
_symmetry_Int_Tables_number 1
loop_
_symmetry_equiv_pos_as_xyz
'x,y,z'
loop_
_atom_site_label
_atom_site_type_symbol
_atom_site_fract_x
_atom_site_fract_y
_atom_site_fract_z
Sn1 Sn 0.399 0.672 0.748
Er1 Er 0.000 0.000 0.000
Sn2 Sn 0.071 0.328 0.748
Sn3 Sn 0.601 0.328 0.252
Pm1 Pm 0.337 0.327 0.000
Pm2 Pm 0.663 0.673 0.000
Sn4 Sn 0.929 0.672 0.252
Er2 Er 0.828 0.343 0.500
Sn5 Sn 0.228 0.000 0.262
Er3 Er 0.500 0.000 0.500
Er4 Er 0.172 0.657 0.500
Sn6 Sn 0.772 0.000 0.738
```